Record 1
# HoNbZn

HoNbZn after structural relaxation (PBE-GGA, the Open Quantum Materials Database).

Cell lengths 4.742, 4.742, 4.742 Å; angles 60.00, 60.00, 60.00 degrees
Positions (direct):
Ho: 0.000 0.000 0.000
Nb: 0.250 0.250 0.250
Zn: 0.750 0.750 0.750

Values from the calculation:
* calculated total energy: -12.6 eV for the cell shown
* spin magnetization: 2.671 μB/f.u.
* calculated density: 7.12 Mg/m³
* ΔE to the lowest computed polymorph: 0.6307 eV/atom
* E_form: 1097 meV/atom

***

Record 2
# HoZrNb

HoZrNb after structural relaxation (PBE-GGA, the Open Quantum Materials Database).

Cell lengths 4.802, 4.802, 4.802 Å; angles 60.00, 60.00, 60.00 degrees
Positions (direct):
Ho: 0.750 0.750 0.750
Nb: 0.000 0.000 0.000
Zr: 0.250 0.250 0.250

Values from the calculation:
* calculated total energy: -20.9 eV for the cell shown
* spin magnetization: 0.004 μB/f.u.
* calculated density: 7.40 Mg/m³
* ΔE to the lowest computed polymorph: 0.0000 eV/atom
* E_form: 758 meV/atom

***

Record 3
# Nd2Ho

Nd2Ho after structural relaxation (PBE-GGA, the Open Quantum Materials Database).

Cell lengths 6.655, 6.655, 6.655 Å; angles 60.00, 60.00, 60.00 degrees
Positions (direct):
Ho: 0.000 0.000 0.000
Ho: 0.250 0.250 0.250
Nd: 0.625 0.625 0.125
Nd: 0.625 0.125 0.625
Nd: 0.125 0.625 0.625
Nd: 0.625 0.625 0.625

Values from the calculation:
* calculated total energy: -26.6 eV for the cell shown
* spin magnetization: 0.030 μB/f.u.
* calculated density: 7.23 Mg/m³
* ΔE to the lowest computed polymorph: 0.0000 eV/atom
* E_form: 262 meV/atom

***

What is the ΔE to the lowest computed polymorph in the first record? 0.6307 eV/atom